The following is a DFT calculation (PBE-GGA) of CaPmCl5 after structural relaxation.

```
CaPmCl5
1.0
-1.962 5.428 4.435
-5.560 3.599 -3.020
-8.844 -2.183 4.803
Pm Cl Ca
2 10 2
Direct
0.000 0.000 0.000 Pm
0.000 0.000 0.500 Pm
0.197 0.300 0.857 Cl
0.803 0.700 0.143 Cl
0.876 0.124 0.250 Cl
0.343 0.723 0.041 Cl
0.277 0.657 0.459 Cl
0.723 0.343 0.541 Cl
0.300 0.197 0.357 Cl
0.700 0.803 0.643 Cl
0.124 0.876 0.750 Cl
0.657 0.277 0.959 Cl
0.530 0.470 0.250 Ca
0.470 0.530 0.750 Ca
```

- Raw formation energy: -2.259 eV/atom
- Distance to the lowest polymorph of the same formula: 8 meV/atom